Below is crystalline Ce2SbN at its relaxed geometry, with properties calculated at the PBE level.

It has space group Pnma (No. 62), with a = 7.348 Å, b = 4.445 Å, c = 11.786 Å, α = 90.00°, β = 90.00° and γ = 90.00°. The inequivalent atoms are Ce at (0.108, 0.250, 0.243), Ce at (0.170, 0.250, 0.548), Sb at (0.138, 0.250, 0.867) and N at (0.051, 0.750, 0.597).

The total energy is -7.27 eV/atom. The value obtained for the magnetization is 1.9 μB/f.u. The uncorrected formation energy is -4.75 eV/f.u. The volume is 24.06 Å³/atom. The distance to the lowest polymorph of the same formula comes out at 64.3 meV/atom.

Below is crystalline Ce3SbN3 at its relaxed geometry, with properties calculated at the PBE level.

It has space group P6_3/m (No. 176), with a = 9.1569 Å, b = 9.1569 Å, c = 4.0979 Å, α = 90.00°, β = 90.00° and γ = 120.00°. The inequivalent atoms are Ce at (0.0793, 0.7026, 0.2500), Sb at (0.3333, 0.6667, 0.7500) and N at (0.0293, 0.3093, 0.2500).

The total energy is -7.91 eV/atom. The value obtained for the magnetization is 0.4 μB/f.u. The uncorrected formation energy is -8.50 eV/f.u. The volume is 21.25 Å³/atom.

Below is crystalline Ce2SbN at its relaxed geometry, with properties calculated at the PBE level.

It has space group P4/nmm (No. 129, origin choice 2), with a = 4.635 Å, b = 4.635 Å, c = 9.101 Å, α = 90.00°, β = 90.00° and γ = 90.00°. The inequivalent atoms are Ce at (0.250, 0.250, 0.166), Ce at (0.250, 0.750, 0.500), Sb at (0.250, 0.250, 0.798) and N at (0.250, 0.250, 0.409).

The total energy is -7.33 eV/atom. The value obtained for the magnetization is 1.7 μB/f.u. The uncorrected formation energy is -5.01 eV/f.u. The volume is 24.44 Å³/atom. The distance to the lowest polymorph of the same formula comes out at 0.0 meV/atom.

Below is crystalline Ce2SbN at its relaxed geometry, with properties calculated at the PBE level.

It has space group R-3m (No. 166, hexagonal axes), with a = 4.8220 Å, b = 4.8220 Å, c = 21.9793 Å, α = 90.00°, β = 90.00° and γ = 120.00°. The inequivalent atoms are Ce at (0.0000, 0.0000, 0.0924), Sb at (0.0000, 0.0000, 0.5000) and N at (0.0000, 0.0000, 0.0000).

The total energy is -6.79 eV/atom. The value obtained for the magnetization is 2.0 μB/f.u. The uncorrected formation energy is -2.86 eV/f.u. The volume is 36.88 Å³/atom. The distance to the lowest polymorph of the same formula comes out at 538.4 meV/atom.

Below is crystalline CeSbN at its relaxed geometry, with properties calculated at the PBE level.

It has space group P4/nmm (No. 129, origin choice 2), with a = 4.114 Å, b = 4.114 Å, c = 7.786 Å, α = 90.00°, β = 90.00° and γ = 90.00°. The inequivalent atoms are Ce at (0.250, 0.250, 0.135), Sb at (0.250, 0.250, 0.564) and N at (0.250, 0.750, 0.000).

The total energy is -7.25 eV/atom. The value obtained for the magnetization is 0.1 μB/f.u. The uncorrected formation energy is -3.36 eV/f.u. The volume is 21.96 Å³/atom. The distance to the lowest polymorph of the same formula comes out at 0.0 meV/atom.

Below is crystalline Ce4Sb3N2 at its relaxed geometry, with properties calculated at the PBE level.

It has space group C2/m (No. 12), with a = 13.587 Å, b = 4.186 Å, c = 9.283 Å, α = 90.00°, β = 121.11° and γ = 90.00°. The inequivalent atoms are Ce at (0.121, 0.000, 0.408), Ce at (0.195, 0.500, 0.132), Sb at (0.000, 0.000, 0.000), Sb at (0.104, 0.500, 0.705) and N at (0.195, 0.500, 0.366).

The total energy is -7.05 eV/atom. The value obtained for the magnetization is 1.2 μB/f.u. The uncorrected formation energy is -10.69 eV/f.u. The volume is 25.12 Å³/atom.

Below is crystalline Ce4Sb5N at its relaxed geometry, with properties calculated at the PBE level.

It has space group C2/m (No. 12), with a = 17.329 Å, b = 4.203 Å, c = 8.019 Å, α = 90.00°, β = 108.15° and γ = 90.00°. The inequivalent atoms are Ce at (0.040, 0.000, 0.220), Ce at (0.130, 0.500, 0.938), Sb at (0.000, 0.500, 0.500), Sb at (0.143, 0.000, 0.635), Sb at (0.218, 0.000, 0.226) and N at (0.000, 0.500, 0.000).

The total energy is -5.94 eV/atom. The value obtained for the magnetization is 3.0 μB/f.u. The uncorrected formation energy is -6.73 eV/f.u. The volume is 27.75 Å³/atom.

Below is crystalline CeSbN2 at its relaxed geometry, with properties calculated at the PBE level.

It has space group R-3m (No. 166, hexagonal axes), with a = 3.6470 Å, b = 3.6470 Å, c = 19.6500 Å, α = 90.00°, β = 90.00° and γ = 120.00°. The inequivalent atoms are Ce at (0.0000, 0.0000, 0.0000), Sb at (0.0000, 0.0000, 0.5000) and N at (0.0000, 0.0000, 0.3892).

The total energy is -7.14 eV/atom. The value obtained for the magnetization is 0.0 μB/f.u. The uncorrected formation energy is -1.84 eV/f.u. The volume is 18.86 Å³/atom.